DFT (PBE) results for an optimized crystal structure of Er3Hf.

Calculated values
The uncorrected energy is -5.82 eV per atom. Its space group is Imm2 (44). The energy above the most stable polymorph in this dataset is 0.000 eV/f.u.

a b c (Å): 6.4224 6.4224 6.4224
angles (deg): 148.79 65.54 123.97
Element x y z (fractional)
Er1 0.0000 0.0000 0.0000
Er2 0.0991 0.3416 0.7575
Er3 0.5842 0.3416 0.2425
Hf1 0.5089 0.0089 0.5000

=====

DFT (PBE) results for an optimized crystal structure of ErHf3.

Calculated values
The uncorrected energy is -8.53 eV per atom. Its space group is Imm2 (44). The energy above the most stable polymorph in this dataset is 0.053 eV/f.u.

a b c (Å): 6.1066 6.1066 6.1066
angles (deg): 149.03 64.94 124.48
Element x y z (fractional)
Er1 0.0000 0.0000 0.0000
Hf1 0.4206 0.6670 0.7536
Hf2 0.4968 0.9968 0.5000
Hf3 0.9133 0.6670 0.2464

=====

DFT (PBE) results for an optimized crystal structure of Er3Hf.

Calculated values
The uncorrected energy is -5.78 eV per atom. Its space group is Pm-3m (221). The energy above the most stable polymorph in this dataset is 0.151 eV/f.u.

a b c (Å): 4.8025 4.8025 4.8025
angles (deg): 90.00 90.00 90.00
Element x y z (fractional)
Er1 0.0000 0.0000 0.5000
Er2 0.0000 0.5000 0.0000
Er3 0.5000 0.0000 0.0000
Hf1 0.5000 0.5000 0.5000

=====

DFT (PBE) results for an optimized crystal structure of Er3Hf.

Calculated values
The uncorrected energy is -5.63 eV per atom. Its space group is Pmm2 (25). The energy above the most stable polymorph in this dataset is 0.739 eV/f.u.

a b c (Å): 3.3008 3.3072 10.6918
angles (deg): 90.00 90.00 90.00
Element x y z (fractional)
Er1 0.0000 0.0000 0.0000
Er2 0.0000 0.5000 0.2908
Er3 0.5000 0.5000 0.7587
Hf1 0.5000 0.0000 0.4960

=====

DFT (PBE) results for an optimized crystal structure of ErHf2.

Calculated values
The uncorrected energy is -8.04 eV per atom. Its space group is I4/mmm (139). The energy above the most stable polymorph in this dataset is 0.000 eV/f.u.

a b c (Å): 7.7567 7.7567 7.7567
angles (deg): 156.40 156.40 33.61
Element x y z (fractional)
Er1 0.0000 0.0000 0.0000
Hf1 0.3205 0.3205 0.0000
Hf2 0.6795 0.6795 0.0000

=====

DFT (PBE) results for an optimized crystal structure of Er3Hf.

Calculated values
The uncorrected energy is -5.64 eV per atom. Its space group is Fm-3m (225). The energy above the most stable polymorph in this dataset is 0.704 eV/f.u.

a b c (Å): 5.4319 5.4319 5.4319
angles (deg): 60.00 60.00 60.00
Element x y z (fractional)
Er1 0.0000 0.0000 0.0000
Er2 0.2500 0.2500 0.2500
Er3 0.7500 0.7500 0.7500
Hf1 0.5000 0.5000 0.5000

=====

DFT (PBE) results for an optimized crystal structure of Er5Hf.

Calculated values
The uncorrected energy is -5.38 eV per atom. Its space group is Cmmm (65).

a b c (Å): 7.6799 7.6799 4.8777
angles (deg): 90.00 90.00 143.21
Element x y z (fractional)
Er1 0.0000 0.0000 0.0000
Er2 0.1596 0.8404 0.5000
Er3 0.3395 0.6605 0.0000
Er4 0.6605 0.3395 0.0000
Er5 0.8404 0.1596 0.5000
Hf1 0.5000 0.5000 0.5000

=====

DFT (PBE) results for an optimized crystal structure of Er4HfHg5.

Calculated values
The uncorrected energy is -3.34 eV per atom. Its space group is P4/mmm (123).

a b c (Å): 3.6553 3.6553 18.1646
angles (deg): 90.00 90.00 90.00
Element x y z (fractional)
Er1 0.0000 0.0000 0.1031
Er2 0.0000 0.0000 0.3077
Er3 0.0000 0.0000 0.6923
Er4 0.0000 0.0000 0.8969
Hf1 0.0000 0.0000 0.5000
Hg1 0.5000 0.5000 0.0000
Hg2 0.5000 0.5000 0.2054
Hg3 0.5000 0.5000 0.4091
Hg4 0.5000 0.5000 0.5909
Hg5 0.5000 0.5000 0.7946

=====

DFT (PBE) results for an optimized crystal structure of Er2HfHg.

Calculated values
The uncorrected energy is -5.03 eV per atom. Its space group is P4/mmm (123). The energy above the most stable polymorph in this dataset is 0.000 eV/f.u.

a b c (Å): 3.4183 3.4183 8.7383
angles (deg): 90.00 90.00 90.00
Element x y z (fractional)
Er1 0.0000 0.0000 0.2431
Er2 0.0000 0.0000 0.7569
Hf1 0.5000 0.5000 0.5000
Hg1 0.5000 0.5000 0.0000

=====

DFT (PBE) results for an optimized crystal structure of Er2HfHg.

Calculated values
The uncorrected energy is -4.58 eV per atom. Its space group is R-3m (166). The energy above the most stable polymorph in this dataset is 1.774 eV/f.u.

a b c (Å): 11.5807 11.5807 11.5807
angles (deg): 16.34 16.34 16.34
Element x y z (fractional)
Er1 0.0923 0.0923 0.0923
Er2 0.9077 0.9077 0.9077
Hf1 0.0000 0.0000 0.0000
Hg1 0.5000 0.5000 0.5000

=====

DFT (PBE) results for an optimized crystal structure of ErHfInHg.

Calculated values
The uncorrected energy is -4.57 eV per atom. Its space group is F-43m (216).

a b c (Å): 5.0899 5.0899 5.0899
angles (deg): 60.00 60.00 60.00
Element x y z (fractional)
Er1 0.0000 0.0000 0.0000
Hf1 0.5000 0.5000 0.5000
In1 0.7500 0.7500 0.7500
Hg1 0.2500 0.2500 0.2500

=====

DFT (PBE) results for an optimized crystal structure of ErHfHgPb.

Calculated values
The uncorrected energy is -4.73 eV per atom. Its space group is F-43m (216).

a b c (Å): 5.1579 5.1579 5.1579
angles (deg): 60.00 60.00 60.00
Element x y z (fractional)
Er1 0.0000 0.0000 0.0000
Hf1 0.5000 0.5000 0.5000
Hg1 0.7500 0.7500 0.7500
Pb1 0.2500 0.2500 0.2500

=====

DFT (PBE) results for an optimized crystal structure of Ho2ErHf.

Calculated values
The uncorrected energy is -5.82 eV per atom. Its space group is R3m (160). The energy above the most stable polymorph in this dataset is 0.000 eV/f.u.

a b c (Å): 11.2664 11.2664 11.2664
angles (deg): 17.48 17.48 17.48
Element x y z (fractional)
Ho1 0.0000 0.0000 0.0000
Ho2 0.1762 0.1762 0.1762
Er1 0.4216 0.4216 0.4216
Hf1 0.5879 0.5879 0.5879

=====

DFT (PBE) results for an optimized crystal structure of Ho14ErHf.

Calculated values
The uncorrected energy is -4.87 eV per atom. Its space group is P4/mmm (123).

a b c (Å): 6.9915 6.9915 9.8666
angles (deg): 90.00 90.00 90.00
Element x y z (fractional)
Ho1 0.0000 0.0000 0.0000
Ho2 0.0000 0.5000 0.0000
Ho3 0.0000 0.5000 0.5000
Ho4 0.2450 0.2450 0.2557
Ho5 0.2450 0.2450 0.7443
Ho6 0.2450 0.7550 0.2557
Ho7 0.2450 0.7550 0.7443
Ho8 0.5000 0.0000 0.0000
Ho9 0.5000 0.0000 0.5000
Ho10 0.5000 0.5000 0.0000
Ho11 0.7550 0.2450 0.2557
Ho12 0.7550 0.2450 0.7443
Ho13 0.7550 0.7550 0.2557
Ho14 0.7550 0.7550 0.7443
Er1 0.5000 0.5000 0.5000
Hf1 0.0000 0.0000 0.5000

=====

DFT (PBE) results for an optimized crystal structure of HoEr2Hf.

Calculated values
The uncorrected energy is -5.82 eV per atom. Its space group is R3m (160). The energy above the most stable polymorph in this dataset is 0.000 eV/f.u.

a b c (Å): 11.2483 11.2483 11.2483
angles (deg): 17.49 17.49 17.49
Element x y z (fractional)
Ho1 0.0000 0.0000 0.0000
Er1 0.5782 0.5782 0.5782
Er2 0.7547 0.7547 0.7547
Hf1 0.1662 0.1662 0.1662

=====

DFT (PBE) results for an optimized crystal structure of HoErHf.

Calculated values
The uncorrected energy is -6.26 eV per atom. Its space group is I4mm (107). The energy above the most stable polymorph in this dataset is 0.000 eV/f.u.

a b c (Å): 7.7046 7.7046 7.7046
angles (deg): 154.87 154.87 35.84
Element x y z (fractional)
Ho1 0.0000 0.0000 0.0000
Er1 0.3104 0.3104 0.0000
Hf1 0.6557 0.6557 0.0000

=====

DFT (PBE) results for an optimized crystal structure of Ho2ErHf.

Calculated values
The uncorrected energy is -5.57 eV per atom. Its space group is R-3m (166). The energy above the most stable polymorph in this dataset is 0.997 eV/f.u.

a b c (Å): 12.0613 12.0613 12.0613
angles (deg): 15.81 15.81 15.81
Element x y z (fractional)
Ho1 0.0870 0.0870 0.0870
Ho2 0.9130 0.9130 0.9130
Er1 0.5000 0.5000 0.5000
Hf1 0.0000 0.0000 0.0000

=====

DFT (PBE) results for an optimized crystal structure of HoErHf.

Calculated values
The uncorrected energy is -6.12 eV per atom. Its space group is Cmcm (63). The energy above the most stable polymorph in this dataset is 0.404 eV/f.u.

a b c (Å): 5.9295 5.9295 5.5350
angles (deg): 90.00 90.00 122.91
Element x y z (fractional)
Ho1 0.0847 0.9153 0.7500
Ho2 0.9153 0.0847 0.2500
Er1 0.2567 0.7433 0.2500
Er2 0.7433 0.2567 0.7500
Hf1 0.4303 0.5697 0.7500
Hf2 0.5697 0.4303 0.2500

=====

DFT (PBE) results for an optimized crystal structure of HoErHf.

Calculated values
The uncorrected energy is -6.20 eV per atom. Its space group is P2_1/m (11). The energy above the most stable polymorph in this dataset is 0.172 eV/f.u.

a b c (Å): 3.3077 4.8908 10.2104
angles (deg): 90.00 99.18 90.00
Element x y z (fractional)
Ho1 0.0517 0.2500 0.0985
Ho2 0.9483 0.7500 0.9015
Er1 0.3676 0.2500 0.7373
Er2 0.6324 0.7500 0.2627
Hf1 0.2146 0.2500 0.4279
Hf2 0.7854 0.7500 0.5721

=====

DFT (PBE) results for an optimized crystal structure of HoErHf.

Calculated values
The uncorrected energy is -6.17 eV per atom. Its space group is P-6m2 (187). The energy above the most stable polymorph in this dataset is 0.253 eV/f.u.

a b c (Å): 5.2923 5.2923 3.3734
angles (deg): 90.00 90.00 120.00
Element x y z (fractional)
Ho1 0.0000 0.0000 0.0000
Er1 0.3333 0.6667 0.5000
Hf1 0.6667 0.3333 0.5000

=====

no.,calculated density (g/cm3),E_form (eV per atom),total magnetization (μB/f.u.)
1,10.0,0.092,0.000
2,12.2,0.076,0.000
3,10.2,0.130,0.000
4,9.7,0.277,0.000
5,11.7,0.115,0.000
6,10.0,0.268,2.977
7,9.8,0.085,0.000
8,12.7,-0.365,0.636
9,11.6,-0.183,0.000
10,11.1,0.260,0.000
11,11.8,-0.182,0.001
12,12.9,-0.096,0.000
13,10.0,0.102,0.003
14,9.1,0.047,0.000
15,10.0,0.096,0.001
16,10.3,0.108,0.000
17,9.9,0.351,0.001
18,10.4,0.243,0.000
19,10.4,0.166,0.000
20,10.4,0.193,0.007